Entry 1:
CaAgPt2 after structural relaxation, computed with GGA-PBEsol.

Output
- DFT total energy: -5.03 eV/atom
- SG: P4mm
- Energy of formation: -0.183 eV per atom

Structure (extended XYZ):
```
4
Lattice="-2.174 0.145 2.712 -1.521 -2.942 -1.062 3.854 -3.169 3.259" Properties=species:S:1:pos:R:3 pbc="T T T"
Ca 1.084 -3.810 3.304
Pt -0.894 -2.183 1.631
Pt 0.081 -0.067 0.069
Ag 1.813 -1.491 1.534
```

---

Entry 2:
CaAgPt after structural relaxation, computed with GGA-PBEsol.

Output
- DFT total energy: -4.00 eV/atom
- SG: F-43m
- Energy of formation: 0.136 eV per atom

Structure (extended XYZ):
```
3
Lattice="-4.512 0.726 -0.349 -2.946 -2.858 2.040 -2.387 1.394 3.656" Properties=species:S:1:pos:R:3 pbc="T T T"
Ag -4.922 -0.369 2.674
Ca -2.461 -0.185 1.337
Pt 0.000 0.000 0.000
```

---

Entry 3:
Ca2TiAgPt after structural relaxation, computed with GGA-PBEsol.

Output
- DFT total energy: -3.94 eV/atom
- SG: P4/mmm
- Energy of formation: 0.637 eV per atom

Structure (extended XYZ):
```
5
Lattice="-1.758 0.587 4.597 4.593 -1.728 1.976 1.836 4.961 0.069" Properties=species:S:1:pos:R:3 pbc="T T T"
Ti 2.336 1.910 3.321
Ca 2.296 -0.864 0.988
Ca 0.918 2.480 0.034
Pt -0.879 0.294 2.299
Ag 0.000 0.000 0.000
```